1.
The following is a PBE calculation of crystalline In2PF at its relaxed geometry, from Alexandria.

The space group is Fm-3m (No. 225) and the conventional cell measures 6.7033, 6.7033 and 6.7033 Å, with angles of 90.00, 90.00 and 90.00 degrees. The distinct sites, in fractional coordinates, are In at (0.2500, 0.2500, 0.2500), P at (0.0000, 0.0000, 0.0000) and F at (0.0000, 0.0000, 0.5000).

Its density of states at the Fermi level is 0.9 states/eV/f.u. As for the crystal system: cubic. The relative energy among the computed polymorphs is 0.000 eV per atom. The formation energy without anion corrections is -15.21 kcal/mol of atoms.


2.
The following is a PBE calculation of crystalline InPF2 at its relaxed geometry, from Alexandria.

The space group is R-3m (No. 166, hexagonal axes) and the conventional cell measures 2.9489, 2.9489 and 24.5873 Å, with angles of 90.00, 90.00 and 120.00 degrees. The distinct sites, in fractional coordinates, are In at (0.0000, 0.0000, 0.0000), P at (0.0000, 0.0000, 0.5000) and F at (0.0000, 0.0000, 0.0916).

Its density of states at the Fermi level is 1.5 states/eV/f.u. As for the crystal system: trigonal. The relative energy among the computed polymorphs is 0.403 eV per atom. The formation energy without anion corrections is -17.27 kcal/mol of atoms.